1.
Zr2VZn | PBE-GGA | optimized geometry

Values from the calculation:
* formation enthalpy at 0 K: -0.055 eV/atom
* crystal system: tetragonal

a = 3.3652 Å, b = 3.3652 Å, c = 6.6368 Å
α = 90.00°, β = 90.00°, γ = 90.00°
Element x y z (fractional)
Zr: 0.0000 0.0000 0.2447
Zr: 0.0000 0.0000 0.7553
V: 0.5000 0.5000 0.0000
Zn: 0.5000 0.5000 0.5000

---

2.
TbDy2Sc | PBE-GGA | optimized geometry

Values from the calculation:
* formation enthalpy at 0 K: 0.044 eV/atom
* offset from the most stable computed form: 13.6 meV per atom
* crystal system: trigonal

a = 11.4516 Å, b = 11.4516 Å, c = 11.4516 Å
α = 17.53°, β = 17.53°, γ = 17.53°
Element x y z (fractional)
Tb: 0.0000 0.0000 0.0000
Dy: 0.2469 0.2469 0.2469
Dy: 0.7531 0.7531 0.7531
Sc: 0.5000 0.5000 0.5000

---

3.
HfSnHg2 | PBE-GGA | optimized geometry

Values from the calculation:
* formation enthalpy at 0 K: 0.318 eV/atom
* crystal system: trigonal

a = 11.3798 Å, b = 11.3798 Å, c = 11.3798 Å
α = 16.40°, β = 16.40°, γ = 16.40°
Element x y z (fractional)
Hf: 0.0000 0.0000 0.0000
Sn: 0.5000 0.5000 0.5000
Hg: 0.0852 0.0852 0.0852
Hg: 0.9148 0.9148 0.9148

---

4.
PaTlCu2S4 | PBE-GGA | optimized geometry

Values from the calculation:
* formation energy (no corrections): -0.656 eV/atom
* crystal system: orthorhombic

a = 6.3879 Å, b = 6.3879 Å, c = 6.3879 Å
α = 119.41°, β = 108.71°, γ = 100.85°
Element x y z (fractional)
Pa: 0.0000 0.0000 0.0000
Tl: 0.5000 0.5000 0.0000
Cu: 0.1555 0.6555 0.5000
Cu: 0.8445 0.3445 0.5000
S: 0.0024 0.0567 0.4281
S: 0.3714 0.9433 0.9457
S: 0.6286 0.5743 0.5719
S: 0.9976 0.4257 0.0543

---

5.
PuBeRh | PBE-GGA | optimized geometry

Values from the calculation:
* formation enthalpy at 0 K: -0.358 eV/atom
* offset from the most stable computed form: 0.0 meV per atom
* crystal system: orthorhombic

a = 5.1213 Å, b = 5.1213 Å, c = 5.1213 Å
α = 123.36°, β = 115.07°, γ = 91.51°
Element x y z (fractional)
Pu: 0.3792 0.1292 0.2500
Pu: 0.6208 0.8708 0.7500
Be: 0.0000 0.0000 0.5000
Be: 0.0000 0.5000 0.0000
Rh: 0.0000 0.5000 0.5000
Rh: 0.5000 0.5000 0.0000

---

6.
Rb2TlInNi | PBE-GGA | optimized geometry

Values from the calculation:
* formation enthalpy at 0 K: 0.499 eV/atom
* crystal system: tetragonal

a = 6.9106 Å, b = 6.9106 Å, c = 4.8861 Å
α = 90.00°, β = 90.00°, γ = 90.00°
Element x y z (fractional)
Rb: 0.0000 0.5000 0.0000
Rb: 0.5000 0.0000 0.0000
Tl: 0.0000 0.0000 0.0000
In: 0.5000 0.5000 0.5000
Ni: 0.0000 0.0000 0.5000

---

7.
Cs5SbF2 | PBE-GGA | optimized geometry

Values from the calculation:
* formation energy (no corrections): -1.477 eV/atom
* crystal system: orthorhombic

a = 7.5158 Å, b = 7.5158 Å, c = 17.4603 Å
α = 90.00°, β = 90.00°, γ = 132.00°
Element x y z (fractional)
Cs: 0.0171 0.9829 0.6269
Cs: 0.0171 0.9829 0.8731
Cs: 0.2583 0.7417 0.2500
Cs: 0.3404 0.6596 0.5376
Cs: 0.3404 0.6596 0.9624
Cs: 0.6596 0.3404 0.0376
Cs: 0.6596 0.3404 0.4624
Cs: 0.7417 0.2583 0.7500
Cs: 0.9829 0.0171 0.1269
Cs: 0.9829 0.0171 0.3731
Sb: 0.4295 0.5705 0.7500
Sb: 0.5705 0.4295 0.2500
F: 0.1424 0.8576 0.0123
F: 0.1424 0.8576 0.4877
F: 0.8576 0.1424 0.5123
F: 0.8576 0.1424 0.9877

---

8.
MgGaGeN2 | PBE-GGA | optimized geometry

Values from the calculation:
* formation energy (no corrections): 1.251 eV/atom
* crystal system: tetragonal

a = 3.8558 Å, b = 3.8558 Å, c = 5.5649 Å
α = 90.00°, β = 90.00°, γ = 90.00°
Element x y z (fractional)
Mg: 0.0000 0.0000 0.0000
Ga: 0.0000 0.0000 0.5000
Ge: 0.5000 0.5000 0.0000
N: 0.0000 0.5000 0.5000
N: 0.5000 0.0000 0.5000

---

9.
Pu2InFe | PBE-GGA | optimized geometry

Values from the calculation:
* formation enthalpy at 0 K: 0.291 eV/atom
* crystal system: trigonal

a = 10.1905 Å, b = 10.1905 Å, c = 10.1905 Å
α = 19.69°, β = 19.69°, γ = 19.69°
Element x y z (fractional)
Pu: 0.1102 0.1102 0.1102
Pu: 0.8898 0.8898 0.8898
In: 0.0000 0.0000 0.0000
Fe: 0.5000 0.5000 0.5000

---

10.
KVHgI6 | PBE-GGA | optimized geometry

Values from the calculation:
* formation energy (no corrections): -0.578 eV/atom
* crystal system: triclinic

a = 6.9556 Å, b = 8.0837 Å, c = 10.3430 Å
α = 67.06°, β = 83.63°, γ = 73.58°
Element x y z (fractional)
K: 0.0000 0.0000 0.0000
V: 0.0017 0.5698 0.8587
Hg: 0.5001 0.3612 0.2760
I: 0.1490 0.8457 0.7116
I: 0.2489 0.6475 0.3231
I: 0.2846 0.3008 0.0183
I: 0.7194 0.6779 0.0194
I: 0.7516 0.0279 0.3239
I: 0.8539 0.4417 0.7111

---

11.
CaScMo2 | PBE-GGA | optimized geometry

Values from the calculation:
* formation enthalpy at 0 K: 0.621 eV/atom
* offset from the most stable computed form: 414.0 meV per atom
* crystal system: tetragonal

a = 3.9923 Å, b = 3.9923 Å, c = 4.8879 Å
α = 90.00°, β = 90.00°, γ = 90.00°
Element x y z (fractional)
Ca: 0.0000 0.0000 0.0000
Sc: 0.5000 0.5000 0.0000
Mo: 0.0000 0.5000 0.5000
Mo: 0.5000 0.0000 0.5000

---

12.
RbSc3Ge | PBE-GGA | optimized geometry

Values from the calculation:
* formation enthalpy at 0 K: 0.282 eV/atom
* offset from the most stable computed form: 0.0 meV per atom
* crystal system: cubic

a = 5.3733 Å, b = 5.3733 Å, c = 5.3733 Å
α = 90.00°, β = 90.00°, γ = 90.00°
Element x y z (fractional)
Rb: 0.0000 0.0000 0.0000
Sc: 0.0000 0.5000 0.5000
Sc: 0.5000 0.0000 0.5000
Sc: 0.5000 0.5000 0.0000
Ge: 0.5000 0.5000 0.5000

---

13.
V3InSe | PBE-GGA | optimized geometry

Values from the calculation:
* formation energy (no corrections): 1.498 eV/atom
* offset from the most stable computed form: 1040.9 meV per atom
* crystal system: cubic

a = 5.0266 Å, b = 5.0266 Å, c = 5.0266 Å
α = 90.00°, β = 90.00°, γ = 90.00°
Element x y z (fractional)
V: 0.0000 0.0000 0.5000
V: 0.0000 0.5000 0.0000
V: 0.5000 0.0000 0.0000
In: 0.0000 0.0000 0.0000
Se: 0.5000 0.5000 0.5000

---

14.
Bi2PdPt | PBE-GGA | optimized geometry

Values from the calculation:
* formation enthalpy at 0 K: 0.094 eV/atom
* crystal system: trigonal

a = 9.2583 Å, b = 9.2583 Å, c = 9.2583 Å
α = 22.77°, β = 22.77°, γ = 22.77°
Element x y z (fractional)
Bi: 0.0982 0.0982 0.0982
Bi: 0.9018 0.9018 0.9018
Pd: 0.0000 0.0000 0.0000
Pt: 0.5000 0.5000 0.5000

---

15.
Tb7NdTm4 | PBE-GGA | optimized geometry

Values from the calculation:
* formation enthalpy at 0 K: -0.003 eV/atom
* offset from the most stable computed form: 0.0 meV per atom
* crystal system: triclinic

a = 6.1918 Å, b = 7.1549 Å, c = 8.8061 Å
α = 89.97°, β = 76.27°, γ = 89.94°
Element x y z (fractional)
Tb: 0.0000 0.0000 0.0000
Tb: 0.2224 0.5004 0.3350
Tb: 0.2798 0.2480 0.6640
Tb: 0.5004 0.2476 0.0005
Tb: 0.4996 0.7524 0.9995
Tb: 0.7202 0.7520 0.3360
Tb: 0.7776 0.4996 0.6650
Nd: 0.0000 0.5000 0.0000
Tm: 0.2201 0.0001 0.3354
Tm: 0.2788 0.7521 0.6649
Tm: 0.7212 0.2479 0.3351
Tm: 0.7799 0.9999 0.6646

---

16.
ScInTe2N | PBE-GGA | optimized geometry

Values from the calculation:
* formation energy (no corrections): -0.016 eV/atom
* offset from the most stable computed form: 0.0 meV per atom
* crystal system: tetragonal

a = 5.8622 Å, b = 5.8622 Å, c = 3.9354 Å
α = 90.00°, β = 90.00°, γ = 90.00°
Element x y z (fractional)
Sc: 0.0000 0.0000 0.0000
In: 0.5000 0.5000 0.5000
Te: 0.0000 0.5000 0.0000
Te: 0.5000 0.0000 0.0000
N: 0.0000 0.0000 0.5000

---

17.
NdCdSn2 | PBE-GGA | optimized geometry

Values from the calculation:
* formation enthalpy at 0 K: -0.311 eV/atom
* offset from the most stable computed form: 193.2 meV per atom
* crystal system: tetragonal

a = 3.9569 Å, b = 3.9569 Å, c = 6.9026 Å
α = 90.00°, β = 90.00°, γ = 90.00°
Element x y z (fractional)
Nd: 0.0000 0.0000 0.0000
Cd: 0.0000 0.0000 0.5000
Sn: 0.5000 0.5000 0.2786
Sn: 0.5000 0.5000 0.7214

---

18.
Ag2HgBi | PBE-GGA | optimized geometry

Values from the calculation:
* formation enthalpy at 0 K: 0.097 eV/atom
* offset from the most stable computed form: 0.0 meV per atom
* crystal system: tetragonal

a = 3.5951 Å, b = 3.5951 Å, c = 7.0038 Å
α = 90.00°, β = 90.00°, γ = 90.00°
Element x y z (fractional)
Ag: 0.0000 0.0000 0.2212
Ag: 0.0000 0.0000 0.7788
Hg: 0.5000 0.5000 0.0000
Bi: 0.5000 0.5000 0.5000

---

19.
La2PmSmDy2 | PBE-GGA | optimized geometry

Values from the calculation:
* formation enthalpy at 0 K: 0.066 eV/atom
* crystal system: orthorhombic

a = 7.1241 Å, b = 5.7731 Å, c = 9.9893 Å
α = 90.00°, β = 90.00°, γ = 90.00°
Element x y z (fractional)
La: 0.0000 0.0000 0.0000
La: 0.2500 0.5000 0.1695
La: 0.5000 0.0000 0.0000
La: 0.7500 0.5000 0.8305
Pm: 0.0000 0.5000 0.5000
Pm: 0.5000 0.5000 0.5000
Sm: 0.2500 0.0000 0.6642
Sm: 0.7500 0.0000 0.3358
Dy: 0.2500 0.0000 0.3347
Dy: 0.2500 0.5000 0.8325
Dy: 0.7500 0.0000 0.6653
Dy: 0.7500 0.5000 0.1675

---

20.
DyHo2Pb2 | PBE-GGA | optimized geometry

Values from the calculation:
* formation enthalpy at 0 K: -0.429 eV/atom
* crystal system: orthorhombic

a = 9.5254 Å, b = 9.5254 Å, c = 6.5282 Å
α = 90.00°, β = 90.00°, γ = 149.79°
Element x y z (fractional)
Dy: 0.1067 0.8933 0.5000
Dy: 0.8933 0.1067 0.0000
Ho: 0.3122 0.6878 0.4977
Ho: 0.5003 0.4997 0.2494
Ho: 0.4997 0.5003 0.7494
Ho: 0.6878 0.3122 0.9977
Pb: 0.0750 0.9250 0.9995
Pb: 0.3001 0.6999 0.9973
Pb: 0.6999 0.3001 0.4973
Pb: 0.9250 0.0750 0.4995

---

21.
MoIr3 | PBE-GGA | optimized geometry

Values from the calculation:
* formation enthalpy at 0 K: -0.251 eV/atom
* offset from the most stable computed form: 84.7 meV per atom
* crystal system: orthorhombic

a = 5.5080 Å, b = 13.4193 Å, c = 4.7905 Å
α = 90.00°, β = 90.00°, γ = 90.00°
Element x y z (fractional)
Mo: 0.2500 0.0861 0.1732
Mo: 0.2500 0.4139 0.1732
Mo: 0.2500 0.7500 0.4990
Mo: 0.7500 0.2500 0.5010
Mo: 0.7500 0.5861 0.8268
Mo: 0.7500 0.9139 0.8268
Ir: 0.0011 0.0837 0.6661
Ir: 0.0011 0.4163 0.6661
Ir: 0.0026 0.7500 0.0016
Ir: 0.2500 0.2500 0.4972
Ir: 0.2500 0.5860 0.8314
Ir: 0.2500 0.9140 0.8314
Ir: 0.4974 0.7500 0.0016
Ir: 0.4989 0.0837 0.6661
Ir: 0.4989 0.4163 0.6661
Ir: 0.5011 0.5837 0.3339
Ir: 0.5011 0.9163 0.3339
Ir: 0.5026 0.2500 0.9984
Ir: 0.7500 0.0860 0.1686
Ir: 0.7500 0.4140 0.1686
Ir: 0.7500 0.7500 0.5028
Ir: 0.9974 0.2500 0.9984
Ir: 0.9989 0.5837 0.3339
Ir: 0.9989 0.9163 0.3339

---

22.
LaZrW | PBE-GGA | optimized geometry

Values from the calculation:
* formation enthalpy at 0 K: 0.398 eV/atom
* offset from the most stable computed form: 0.0 meV per atom
* crystal system: tetragonal

a = 6.5546 Å, b = 6.5546 Å, c = 6.5546 Å
α = 149.14°, β = 149.14°, γ = 44.21°
Element x y z (fractional)
La: 0.0000 0.0000 0.0000
Zr: 0.2809 0.2809 0.0000
W: 0.6681 0.6681 0.0000

---

23.
KTl6In2 | PBE-GGA | optimized geometry

Values from the calculation:
* formation enthalpy at 0 K: -0.023 eV/atom
* offset from the most stable computed form: 0.0 meV per atom
* crystal system: monoclinic

a = 9.7278 Å, b = 9.7278 Å, c = 6.5006 Å
α = 101.20°, β = 101.20°, γ = 100.25°
Element x y z (fractional)
K: 0.0994 0.9006 0.7500
K: 0.9006 0.0994 0.2500
Tl: 0.0677 0.2758 0.8167
Tl: 0.1053 0.4623 0.3391
Tl: 0.2504 0.6292 0.9681
Tl: 0.2758 0.0677 0.3167
Tl: 0.3708 0.7496 0.5319
Tl: 0.4623 0.1053 0.8391
Tl: 0.5377 0.8947 0.1609
Tl: 0.6292 0.2504 0.4681
Tl: 0.7242 0.9323 0.6833
Tl: 0.7496 0.3708 0.0319
Tl: 0.8947 0.5377 0.6609
Tl: 0.9323 0.7242 0.1833
In: 0.3669 0.3795 0.6609
In: 0.3795 0.3669 0.1609
In: 0.6205 0.6331 0.8391
In: 0.6331 0.6205 0.3391

---

24.
PmDy3Y2Tm6 | PBE-GGA | optimized geometry

Values from the calculation:
* formation enthalpy at 0 K: 0.024 eV/atom
* crystal system: monoclinic

a = 6.1114 Å, b = 6.1114 Å, c = 11.6819 Å
α = 95.00°, β = 95.00°, γ = 119.95°
Element x y z (fractional)
Pm: 0.0000 0.0000 0.0000
Dy: 0.1670 0.8330 0.5000
Dy: 0.5000 0.5000 0.5000
Dy: 0.8330 0.1670 0.5000
Y: 0.3333 0.6667 0.0000
Y: 0.6667 0.3333 0.0000
Tm: 0.0845 0.4175 0.2518
Tm: 0.2487 0.2487 0.7482
Tm: 0.4175 0.0845 0.2518
Tm: 0.5825 0.9155 0.7482
Tm: 0.7513 0.7513 0.2518
Tm: 0.9155 0.5825 0.7482

---

25.
Tb2Nd3HoTm6 | PBE-GGA | optimized geometry

Values from the calculation:
* formation enthalpy at 0 K: 0.022 eV/atom
* crystal system: monoclinic

a = 6.1604 Å, b = 6.1604 Å, c = 11.6860 Å
α = 95.02°, β = 95.02°, γ = 119.96°
Element x y z (fractional)
Tb: 0.1666 0.8334 0.0000
Tb: 0.8334 0.1666 0.0000
Nd: 0.0000 0.0000 0.5000
Nd: 0.3334 0.6666 0.5000
Nd: 0.6666 0.3334 0.5000
Ho: 0.5000 0.5000 0.0000
Tm: 0.0844 0.4176 0.7533
Tm: 0.2492 0.2492 0.2468
Tm: 0.4176 0.0844 0.7533
Tm: 0.5824 0.9156 0.2467
Tm: 0.7508 0.7508 0.7532
Tm: 0.9156 0.5824 0.2467